A relaxed structure of Ca3Fe3As4O16, computed with GGA+U.

Properties
Energy in eV/atom: -6.48
D(E_F) in states/eV per cell: 0.0

a = 9.1968 Å, b = 5.1969 Å, c = 17.4231 Å
α = 90.00°, β = 116.21°, γ = 90.00°
With the nearest neighbours (Å) after each atom.
Fractional coordinates of all 52 atoms:
Ca 0.0000 0.0000 0.0000  6 O 2.31-2.48
Ca 0.0000 0.5000 0.5000  6 O 2.31-2.48
Ca 0.3074 0.0397 0.2694  4 O 2.32-2.52
Ca 0.3074 0.4603 0.7694  4 O 2.32-2.52
Ca 0.6926 0.5397 0.2306  4 O 2.32-2.52
Ca 0.6926 0.9603 0.7306  4 O 2.32-2.52
Fe 0.2015 0.5321 0.3787  5 O 2.05-2.20
Fe 0.2015 0.9679 0.8787  5 O 2.05-2.20
Fe 0.5000 0.0000 0.5000  4 O 2.03-2.07
Fe 0.5000 0.5000 0.0000  4 O 2.03-2.07
Fe 0.7985 0.0321 0.1213  5 O 2.05-2.20
Fe 0.7985 0.4679 0.6213  5 O 2.05-2.20
As 0.0382 0.5146 0.1564  4 O 1.69-1.74
As 0.0382 0.9854 0.6564  4 O 1.69-1.74
As 0.4377 0.5107 0.5987  4 O 1.69-1.76
As 0.4377 0.9893 0.0987  4 O 1.69-1.76
As 0.5623 0.0107 0.9013  4 O 1.69-1.76
As 0.5623 0.4893 0.4013  4 O 1.69-1.76
As 0.9618 0.0146 0.3436  4 O 1.69-1.74
As 0.9618 0.4854 0.8436  4 O 1.69-1.74
O 0.0265 0.6539 0.6403  1 As 1.74
O 0.0265 0.8461 0.1403  1 As 1.74
O 0.0920 0.1464 0.5888  1 As 1.69
O 0.0920 0.3536 0.0888  1 As 1.69
O 0.1476 0.5859 0.8497  1 As 1.74
O 0.1476 0.9141 0.3497  1 As 1.74
O 0.1886 0.0467 0.7583  1 As 1.73
O 0.1886 0.4533 0.2583  1 As 1.73
O 0.2572 0.5449 0.5097  1 As 1.71
O 0.2572 0.9551 0.0097  1 As 1.71
O 0.4183 0.2030 0.9156  1 As 1.76
O 0.4183 0.2970 0.4156  1 As 1.76
O 0.4342 0.6153 0.6897  1 As 1.69
O 0.4342 0.8847 0.1897  1 As 1.69
O 0.4838 0.7038 0.8946  1 As 1.73
O 0.4838 0.7962 0.3946  1 As 1.73
O 0.5162 0.2038 0.6054  1 As 1.73
O 0.5162 0.2962 0.1054  1 As 1.73
O 0.5658 0.1153 0.8103  1 As 1.69
O 0.5658 0.3847 0.3103  1 As 1.69
O 0.5817 0.7030 0.5844  1 As 1.76
O 0.5817 0.7970 0.0844  1 As 1.76
O 0.7428 0.0449 0.9903  1 As 1.71
O 0.7428 0.4551 0.4903  1 As 1.71
O 0.8114 0.5467 0.7417  1 As 1.73
O 0.8114 0.9533 0.2417  1 As 1.73
O 0.8524 0.0859 0.6503  1 As 1.74
O 0.8524 0.4141 0.1503  1 As 1.74
O 0.9080 0.6464 0.9112  1 As 1.69
O 0.9080 0.8536 0.4112  1 As 1.69
O 0.9735 0.1539 0.8597  1 As 1.74
O 0.9735 0.3461 0.3597  1 As 1.74